No. 1
An optimized crystal structure of Na3PaSb3Te8, computed with PBE.

a b c (Å): 8.903 8.904 9.181
angles (deg): 119.04 90.00 120.00
Last column: magnetic moment on the atom in μB.
Fractional positions:
Sb 0.500 0.000 0.500  0.02
Na 0.000 0.500 0.000  0.00
Te 0.255 0.014 0.273  -0.01
Te 0.745 0.986 0.727  -0.01
Te 0.241 0.483 0.727  -0.01
Sb 0.500 0.500 0.500  0.02
Na 0.500 0.500 0.000  0.00
Te 0.759 0.014 0.273  -0.01
Te 0.759 0.517 0.273  -0.01
Te 0.241 0.986 0.727  -0.01
Sb 0.000 0.500 0.500  0.02
Te 0.743 0.487 0.730  0.00
Na 0.000 0.000 0.000  0.00
Te 0.257 0.513 0.270  0.00
Pa 0.000 0.000 0.500  0.78

* energy: -3.91 eV per atom
* spin magnetization: 0.88 μB/cell

=====

No. 2
An optimized crystal structure of VCr2P2, computed with PBE.

a b c (Å): 6.430 6.430 2.906
angles (deg): 90.00 90.00 90.00
Last column: magnetic moment on the atom in μB.
Fractional positions:
Cr 0.644 0.856 0.500  0.32
Cr 0.144 0.644 0.500  0.32
P 0.650 0.150 0.000  -0.01
P 0.350 0.850 0.000  -0.01
P 0.150 0.350 0.000  -0.01
V 0.500 0.500 0.000  -0.15
V 0.000 0.000 0.000  -0.15
P 0.850 0.650 0.000  -0.01
Cr 0.856 0.356 0.500  0.32
Cr 0.356 0.144 0.500  0.32

* energy: -8.21 eV per atom
* energy above the most stable polymorph in this dataset: 0 meV per atom
* ΔH_f (0 K): -0.3776 eV/atom
* spin magnetization: 0.90 μB/cell

=====

No. 3
An optimized crystal structure of Tb4TlCd2Ga, computed with PBE.

a b c (Å): 5.270 5.270 9.133
angles (deg): 73.23 73.23 60.00
Fractional positions:
Tb 0.621 0.621 0.138
Tb 0.871 0.871 0.387
Tb 0.379 0.379 0.862
Tb 0.129 0.129 0.613
Cd 0.748 0.748 0.755
Tl 0.000 0.000 0.000
Cd 0.252 0.252 0.245
Ga 0.500 0.500 0.500

* energy: -3.62 eV per atom
* ΔH_f (0 K): -0.3995 eV/atom
* spin magnetization: 0.00 μB/cell

=====

No. 4
An optimized crystal structure of ErGa12Co4, computed with PBE.

a b c (Å): 7.832 7.832 7.832
angles (deg): 109.47 109.47 109.47
Last column: magnetic moment on the atom in μB.
Fractional positions:
Ga 0.001 0.258 0.743  0.00
Ga 0.742 0.743 0.485  0.00
Ga 0.258 0.743 0.001  0.00
Ga 0.257 0.515 0.258  0.00
Ga 0.515 0.258 0.257  0.00
Ga 0.743 0.485 0.742  0.00
Co 0.500 0.000 0.000  0.20
Ga 0.742 0.257 0.999  0.00
Ga 0.485 0.742 0.743  0.00
Ga 0.258 0.257 0.515  0.00
Co 0.000 0.000 0.500  0.20
Ga 0.999 0.742 0.257  0.00
Co 0.500 0.500 0.500  0.20
Ga 0.257 0.999 0.742  0.00
Er 0.000 0.000 0.000  0.36
Co 0.000 0.500 0.000  0.20
Ga 0.743 0.001 0.258  0.00

* energy: -4.22 eV per atom
* ΔH_f (0 K): -0.1459 eV/atom
* spin magnetization: 1.65 μB/cell

=====

No. 5
An optimized crystal structure of La3YHg12, computed with PBE.

a b c (Å): 4.721 4.721 19.097
angles (deg): 90.00 90.00 90.00
Fractional positions:
Hg 0.500 0.500 0.000
La 0.000 0.000 0.756
Hg 0.500 0.000 0.628
Hg 0.500 0.000 0.118
Y 0.000 0.000 0.000
Hg 0.500 0.500 0.500
Hg 0.000 0.500 0.118
Hg 0.000 0.500 0.372
La 0.000 0.000 0.244
Hg 0.500 0.500 0.242
Hg 0.500 0.500 0.758
Hg 0.500 0.000 0.372
La 0.000 0.000 0.500
Hg 0.000 0.500 0.628
Hg 0.000 0.500 0.882
Hg 0.500 0.000 0.882

* energy: -1.91 eV per atom
* ΔH_f (0 K): -0.3568 eV/atom
* spin magnetization: 0.00 μB/cell

=====

No. 6
An optimized crystal structure of LiPaAlAg, computed with PBE.

a b c (Å): 4.816 4.816 4.816
angles (deg): 60.00 60.00 60.00
Last column: magnetic moment on the atom in μB.
Fractional positions:
Pa 0.500 0.500 0.500  0.76
Li 0.750 0.750 0.750  0.03
Al 0.000 0.000 0.000  0.00
Ag 0.250 0.250 0.250  0.01

* energy: -4.37 eV per atom
* ΔH_f (0 K): 0.1332 eV/atom
* spin magnetization: 0.92 μB/cell